[1]
Material: Mg3AsAu
Method: DFT, GGA-PBE
State: optimized geometry

ΔE_f ... -0.055 eV/f.u.
Symmetry ... No. 221
Total moment ... 0.0 μB per formula unit
Calculated density ... 4.51 g/cm3

a b c (Å): 5.0274 5.0274 5.0274
angles (deg): 90.00 90.00 90.00
Positions (direct):
As  0.5000  0.5000  0.5000
Au  0.0000  0.0000  0.0000
Mg  0.0000  0.5000  0.0000
Mg  0.0000  0.0000  0.5000
Mg  0.5000  0.0000  0.0000


[2]
Material: Mg2AsAu
Method: DFT, GGA-PBE
State: optimized geometry

ΔE_f ... -0.912 eV/f.u.
Symmetry ... No. 122
Total moment ... 0.0 μB per formula unit
Calculated density ... 4.73 g/cm3

a b c (Å): 5.8369 5.8369 7.7920
angles (deg): 68.00 68.00 90.00
Positions (direct):
As  0.5000  0.5000  0.0000
As  0.2500  0.7500  0.5000
Au  0.0000  0.0000  0.0000
Au  0.7500  0.2500  0.5000
Mg  0.5955  0.1250  0.2500
Mg  0.1545  0.6250  0.2500
Mg  0.3750  0.4045  0.7500
Mg  0.8750  0.8455  0.7500


[3]
Material: MgAsAu2
Method: DFT, GGA-PBE
State: optimized geometry

ΔE_f ... -0.775 eV/f.u.
Symmetry ... No. 12
Total moment ... 0.0 μB per formula unit
Calculated density ... 11.14 g/cm3

a b c (Å): 5.0705 5.0705 4.9596
angles (deg): 80.67 80.67 35.79
Positions (direct):
As  0.7500  0.7500  0.7500
Au  0.9904  0.9904  0.0110
Au  0.5096  0.5096  0.4890
Mg  0.2500  0.2500  0.2500


[4]
Material: MgAsAu2
Method: DFT, GGA-PBE
State: optimized geometry

ΔE_f ... -0.719 eV/f.u.
Symmetry ... No. 25
Total moment ... 0.0 μB per formula unit
Calculated density ... 10.94 g/cm3

a b c (Å): 3.4758 3.8118 5.6476
angles (deg): 90.00 90.00 90.00
Positions (direct):
As  0.5000  0.5000  0.7718
Au  0.0000  0.0000  0.9781
Au  0.5000  0.5000  0.2687
Mg  0.0000  0.0000  0.4814


[5]
Material: Mg2AsAu
Method: DFT, GGA-PBE
State: optimized geometry

ΔE_f ... -1.456 eV/f.u.
Symmetry ... No. 44
Total moment ... 0.0 μB per formula unit
Calculated density ... 6.99 g/cm3

a b c (Å): 5.5640 5.5640 5.5640
angles (deg): 138.05 138.07 60.81
Positions (direct):
As  0.4998  0.4998  0.0000
Au  0.2496  0.7496  0.5000
Mg  0.0002  0.0002  0.0000
Mg  0.7504  0.2504  0.5000


[6]
Material: MgAsAu2
Method: DFT, GGA-PBE
State: optimized geometry

ΔE_f ... -0.801 eV/f.u.
Symmetry ... No. 6
Total moment ... 0.0 μB per formula unit
Calculated density ... 10.88 g/cm3

a b c (Å): 4.0322 3.1625 6.1217
angles (deg): 74.57 90.00 90.00
Positions (direct):
As  0.5000  0.9482  0.7243
Au  0.0000  0.8040  0.0187
Au  0.5000  0.1843  0.2582
Mg  0.0000  0.5636  0.4987


[7]
Material: Mg2AsAu
Method: DFT, GGA-PBE
State: optimized geometry

ΔE_f ... -0.574 eV/f.u.
Symmetry ... No. 99
Total moment ... 0.0 μB per formula unit
Calculated density ... 6.65 g/cm3

a b c (Å): 3.1127 3.1127 8.2615
angles (deg): 90.00 90.00 89.98
Positions (direct):
As  0.0000  0.0000  0.4985
Au  0.5000  0.5000  0.7638
Mg  0.0000  0.0000  0.9703
Mg  0.5000  0.5000  0.2675


[8]
Material: MgAsAu3
Method: DFT, GGA-PBE
State: optimized geometry

ΔE_f ... 3.281 eV/f.u.
Symmetry ... No. 221
Total moment ... 0.0 μB per formula unit
Calculated density ... 9.94 g/cm3

a b c (Å): 4.8673 4.8673 4.8673
angles (deg): 90.00 90.00 90.00
Positions (direct):
As  0.5000  0.5000  0.5000
Au  0.0000  0.5000  0.0000
Au  0.0000  0.0000  0.5000
Au  0.5000  0.0000  0.0000
Mg  0.0000  0.0000  0.0000


> calculated density of number 4 (MgAsAu2)?

10.94 g/cm3


> What is the ΔE_f in the sixth record?

-0.801 eV/f.u.